1.
The following is a DFT calculation (PBE) of crystalline AcGa2PdRh at its relaxed geometry.

Calculated density, g cm⁻³: 9.364
Electronic total energy, eV per formula unit: -26.58
Fermi-level density of states, states/eV per atom: 0.73
E_form, eV/atom: -0.7737

Cell and atoms, written as CIF:
```
data_AcGa2PdRh
_cell_length_a 4.361
_cell_length_b 4.361
_cell_length_c 6.190
_cell_angle_alpha 110.63
_cell_angle_beta 110.63
_cell_angle_gamma 90.00
_space_group_name_H-M_alt 'P 1'
_space_group_IT_number 1
loop_
_space_group_symop_operation_xyz
'x,y,z'
loop_
_atom_site_label
_atom_site_type_symbol
_atom_site_fract_x
_atom_site_fract_y
_atom_site_fract_z
Ac1 Ac 0.000 0.000 0.000
Ga1 Ga 0.631 0.631 0.261
Ga2 Ga 0.369 0.369 0.739
Pd1 Pd 0.750 0.250 0.500
Rh1 Rh 0.250 0.750 0.500
```

---

2.
The following is a DFT calculation (PBE) of crystalline Ac2Ga3PdRh4 at its relaxed geometry.

Calculated density, g cm⁻³: 9.828
Electronic total energy, eV per formula unit: -59.02
Fermi-level density of states, states/eV per atom: 0.62
E_form, eV/atom: -0.7123

Cell and atoms, written as CIF:
```
data_Ac2Ga3PdRh4
_cell_length_a 4.336
_cell_length_b 4.336
_cell_length_c 10.616
_cell_angle_alpha 90.00
_cell_angle_beta 90.00
_cell_angle_gamma 90.00
_space_group_name_H-M_alt 'P 1'
_space_group_IT_number 1
loop_
_space_group_symop_operation_xyz
'x,y,z'
loop_
_atom_site_label
_atom_site_type_symbol
_atom_site_fract_x
_atom_site_fract_y
_atom_site_fract_z
Ac1 Ac 0.500 0.000 0.250
Ac2 Ac 0.000 0.500 0.750
Ga1 Ga 0.000 0.000 0.500
Ga2 Ga 0.500 0.000 0.883
Ga3 Ga 0.000 0.500 0.117
Pd1 Pd 0.500 0.500 0.500
Rh1 Rh 0.500 0.500 0.000
Rh2 Rh 0.000 0.000 0.000
Rh3 Rh 0.500 0.000 0.647
Rh4 Rh 0.000 0.500 0.353
```

---

3.
The following is a DFT calculation (PBE) of crystalline Ac2Ga4Pd3Rh at its relaxed geometry.

Calculated density, g cm⁻³: 9.312
Electronic total energy, eV per formula unit: -51.32
Fermi-level density of states, states/eV per atom: 0.75
E_form, eV/atom: -0.8070

Cell and atoms, written as CIF:
```
data_Ac2Ga4Pd3Rh
_cell_length_a 4.474
_cell_length_b 4.474
_cell_length_c 10.290
_cell_angle_alpha 90.00
_cell_angle_beta 90.00
_cell_angle_gamma 90.00
_space_group_name_H-M_alt 'P 1'
_space_group_IT_number 1
loop_
_space_group_symop_operation_xyz
'x,y,z'
loop_
_atom_site_label
_atom_site_type_symbol
_atom_site_fract_x
_atom_site_fract_y
_atom_site_fract_z
Ac1 Ac 0.500 0.000 0.253
Ac2 Ac 0.000 0.500 0.747
Ga1 Ga 0.500 0.500 0.000
Ga2 Ga 0.000 0.000 0.000
Ga3 Ga 0.500 0.000 0.619
Ga4 Ga 0.000 0.500 0.381
Pd1 Pd 0.000 0.000 0.500
Pd2 Pd 0.500 0.000 0.871
Pd3 Pd 0.000 0.500 0.129
Rh1 Rh 0.500 0.500 0.500
```